## La6N2Cl3O (PBE-GGA)

Data for a relaxed La6N2Cl3O crystal.

a b c (Å): 6.521 6.521 7.420
angles (deg): 98.43 98.43 120.00
Sites, in units of the cell vectors:
La  0.099  0.436  0.808
La  0.228  0.228  0.193
La  0.436  0.099  0.808
La  0.564  0.901  0.192
La  0.772  0.772  0.807
La  0.901  0.564  0.192
N  0.166  0.834  0.000
N  0.834  0.166  0.000
Cl  0.000  0.000  0.500
Cl  0.332  0.668  0.500
Cl  0.668  0.332  0.500
O  0.500  0.500  0.000

Uncorrected formation energy (meV per atom): -1810